No. 1
! P2RhSe | Alexandria via LeMat-Bulk | GGA-PBE | optimized geometry; values from VASP
! Space-group type   I-42d
! Crystal system   tetragonal
&SYSTEM
  ibrav = 0, nat = 8, ntyp = 3
/
ATOMIC_SPECIES
P 30.97 P.upf
Se 78.96 Se.upf
Rh 102.91 Rh.upf
CELL_PARAMETERS angstrom
5.598 0.000 0.000
0.000 5.598 0.000
2.799 2.799 5.397
ATOMIC_POSITIONS angstrom
P 6.998 7.264 4.047
Se 2.799 5.598 2.698
P 4.465 1.400 1.349
Rh 0.000 0.000 0.000
Rh 5.598 2.799 2.698
Se 2.799 2.799 0.000
P 1.133 4.199 1.349
P 4.199 3.932 4.047

No. 2
! P2RhSe | Alexandria via LeMat-Bulk | GGA-PBE | optimized geometry; values from VASP
! Space-group type   P4/mmm
! Crystal system   tetragonal
&SYSTEM
  ibrav = 0, nat = 4, ntyp = 3
/
ATOMIC_SPECIES
Se 78.96 Se.upf
Rh 102.91 Rh.upf
P 30.97 P.upf
CELL_PARAMETERS angstrom
-3.573 2.313 -1.380
-1.968 -3.808 -1.285
-1.257 -0.287 2.774
ATOMIC_POSITIONS angstrom
Se -1.612 -2.047 0.745
Rh -2.415 1.013 0.697
P 0.000 0.000 0.000
P -2.771 -0.747 -1.332

No. 3
! PRhSe4 | Alexandria via LeMat-Bulk | GGA-PBE | optimized geometry; values from VASP
! Space-group type   C2/c
! Crystal system   monoclinic
&SYSTEM
  ibrav = 0, nat = 12, ntyp = 3
/
ATOMIC_SPECIES
Rh 102.91 Rh.upf
Se 78.96 Se.upf
P 30.97 P.upf
CELL_PARAMETERS angstrom
-5.019 -1.060 -3.578
0.625 -4.493 4.314
-1.776 6.512 4.098
ATOMIC_POSITIONS angstrom
Rh -5.746 1.537 3.104
Se -4.579 0.949 5.271
P -2.742 -3.241 2.234
Se -3.820 -2.654 -0.191
Se -0.886 0.297 5.755
Se -3.652 2.018 1.854
Se -5.284 0.663 -0.921
Rh -0.424 -0.578 1.730
Se -2.350 3.613 5.025
P -3.428 4.200 2.600
Se -1.591 0.010 -0.437
Se -2.518 -1.058 2.980

No. 4
! PRhSe2 | Alexandria via LeMat-Bulk | GGA-PBE | optimized geometry; values from VASP
! Space-group type   I-42d
! Crystal system   tetragonal
&SYSTEM
  ibrav = 0, nat = 8, ntyp = 3
/
ATOMIC_SPECIES
P 30.97 P.upf
Rh 102.91 Rh.upf
Se 78.96 Se.upf
CELL_PARAMETERS angstrom
5.590 0.000 0.000
0.000 5.590 0.000
2.795 2.795 5.906
ATOMIC_POSITIONS angstrom
P 2.795 5.590 2.953
P 2.795 2.795 0.000
Rh 5.590 2.795 2.953
Se 1.303 4.193 1.476
Se 4.287 1.398 1.476
Rh 0.000 0.000 0.000
Se 6.988 7.082 4.429
Se 4.193 4.098 4.429

The evaluated uncorrected formation energy for the records listed, in turn: 0.02, 0.47, -0.12, 0.20 eV per atom.
The evaluated density of states at the Fermi level for the records listed, in turn: 4.5, 2.7, 3.9, 3.7 states/eV per cell.